# LaPr2I

A geometry-optimized LaPr2I structure (GGA-PBE, Alexandria).

a b c (Å): 3.7697 3.7697 9.8878
angles (deg): 90.00 90.00 90.00
Positions (direct):
Pr1 0.0000 0.0000 0.7609
Pr2 0.0000 0.0000 0.2391
La1 0.5000 0.5000 0.5000
I1 0.5000 0.5000 0.0000

Summary:
V: 140.5 Å³ per cell
energy above the most stable polymorph in this dataset: 31 meV/atom
raw formation energy: -139 kJ/mol of formula units
space group: P4/mmm
raw total energy: -17.48 eV/cell
magnetization: 0.0 μB per cell